[1]
DFT (PBE) results for a relaxed structure of ErScAlCo.

Summary:
* E_form: -0.2674 eV/atom
* M_tot: 2.4 μB/cell

Geometry as CIF:
```
data_ErScAlCo
_chemical_formula_sum 'Er4 Sc4 Al4 Co4'
_cell_length_a 6.744
_cell_length_b 6.744
_cell_length_c 6.744
_cell_angle_alpha 90.00
_cell_angle_beta 90.00
_cell_angle_gamma 90.00
_symmetry_space_group_name_H-M 'F -4 3 m'
_symmetry_Int_Tables_number 216
_symmetry_space_group_name_Hall 'F -4 2 3'
loop_
_atom_site_label
_atom_site_type_symbol
_atom_site_fract_x
_atom_site_fract_y
_atom_site_fract_z
Er1 Er 0.000 0.000 0.000
Sc1 Sc 0.000 0.000 0.500
Al1 Al 0.250 0.250 0.250
Co1 Co 0.250 0.250 0.750
```


[2]
DFT (PBE) results for a relaxed structure of ErAl2Co2Si.

Summary:
* raw formation energy: -213 kJ/mol of formula units
* M_tot: 1.0 μB/cell

Geometry as CIF:
```
data_ErAl2Co2Si
_chemical_formula_sum 'Er1 Al2 Co2 Si1'
_cell_length_a 4.221
_cell_length_b 4.221
_cell_length_c 5.519
_cell_angle_alpha 90.00
_cell_angle_beta 90.00
_cell_angle_gamma 90.00
_symmetry_space_group_name_H-M 'P 4/m m m'
_symmetry_Int_Tables_number 123
_symmetry_space_group_name_Hall '-P 4 2'
loop_
_atom_site_label
_atom_site_type_symbol
_atom_site_fract_x
_atom_site_fract_y
_atom_site_fract_z
Er1 Er 0.000 0.000 0.000
Al1 Al 0.500 0.500 0.244
Co1 Co 0.000 0.500 0.500
Si1 Si 0.000 0.000 0.500
```


[3]
DFT (PBE) results for a relaxed structure of ErAlCoSi2.

Summary:
* raw formation energy: -254 kJ/mol of formula units
* M_tot: 0.0 μB/cell

Geometry as CIF:
```
data_ErAlCoSi2
_chemical_formula_sum 'Er2 Al2 Co2 Si4'
_cell_length_a 5.384
_cell_length_b 5.387
_cell_length_c 5.463
_cell_angle_alpha 90.00
_cell_angle_beta 90.00
_cell_angle_gamma 90.00
_symmetry_space_group_name_H-M 'P m m a'
_symmetry_Int_Tables_number 51
loop_
_symmetry_equiv_pos_as_xyz
'x,y,z'
'-x,-y,-z'
'-x+1/2,-y,z'
'x+1/2,y,-z'
'x+1/2,-y,-z'
'-x+1/2,y,z'
'-x,y,-z'
'x,-y,z'
loop_
_atom_site_label
_atom_site_type_symbol
_atom_site_fract_x
_atom_site_fract_y
_atom_site_fract_z
Er1 Er 0.250 0.000 0.231
Al1 Al 0.250 0.500 0.366
Co1 Co 0.000 0.500 0.000
Si1 Si 0.250 0.236 0.747
```


[4]
DFT (PBE) results for a relaxed structure of SmErAlCo.

Summary:
* E_form: -0.1698 eV/atom
* M_tot: 4.2 μB/cell

Geometry as CIF:
```
data_SmErAlCo
_chemical_formula_sum 'Sm4 Er4 Al4 Co4'
_cell_length_a 7.060
_cell_length_b 7.060
_cell_length_c 7.060
_cell_angle_alpha 90.00
_cell_angle_beta 90.00
_cell_angle_gamma 90.00
_symmetry_space_group_name_H-M 'F -4 3 m'
_symmetry_Int_Tables_number 216
_symmetry_space_group_name_Hall 'F -4 2 3'
loop_
_atom_site_label
_atom_site_type_symbol
_atom_site_fract_x
_atom_site_fract_y
_atom_site_fract_z
Sm1 Sm 0.000 0.000 0.000
Er1 Er 0.000 0.000 0.500
Al1 Al 0.250 0.250 0.750
Co1 Co 0.250 0.250 0.250
```


[5]
DFT (PBE) results for a relaxed structure of ErTh2Al12Co3.

Summary:
* E_form: 0.0544 eV/atom
* M_tot: 0.0 μB/cell

Geometry as CIF:
```
data_ErTh2Al12Co3
_chemical_formula_sum 'Er3 Th6 Al36 Co9'
_cell_length_a 8.4175
_cell_length_b 8.4175
_cell_length_c 18.5735
_cell_angle_alpha 90.00
_cell_angle_beta 90.00
_cell_angle_gamma 120.00
_symmetry_space_group_name_H-M 'R -3 m'
_symmetry_Int_Tables_number 166
_symmetry_space_group_name_Hall '-R 3 2"'
loop_
_atom_site_label
_atom_site_type_symbol
_atom_site_fract_x
_atom_site_fract_y
_atom_site_fract_z
Er1 Er 0.0000 0.0000 0.0000
Th1 Th 0.0000 0.0000 0.4187
Al1 Al 0.0782 0.5391 0.8175
Al2 Al 0.0882 0.5441 0.3818
Co1 Co 0.0000 0.5000 0.5000
```


[6]
DFT (PBE) results for a relaxed structure of Er2TiAl2Co5.

Summary:
* E_form: -0.2917 eV/atom
* M_tot: 0.0 μB/cell

Geometry as CIF:
```
data_Er2TiAl2Co5
_chemical_formula_sum 'Er4 Ti2 Al4 Co10'
_cell_length_a 9.598
_cell_length_b 9.598
_cell_length_c 3.217
_cell_angle_alpha 90.00
_cell_angle_beta 90.00
_cell_angle_gamma 90.00
_symmetry_space_group_name_H-M 'P 4/m b m'
_symmetry_Int_Tables_number 127
_symmetry_space_group_name_Hall '-P 4 2ab'
loop_
_atom_site_label
_atom_site_type_symbol
_atom_site_fract_x
_atom_site_fract_y
_atom_site_fract_z
Er1 Er 0.173 0.327 0.000
Ti1 Ti 0.000 0.000 0.000
Al1 Al 0.125 0.625 0.000
Co1 Co 0.000 0.500 0.500
Co2 Co 0.063 0.800 0.500
```


Number 1: N(E_F) 3.2 states/eV/f.u.. Number 2: N(E_F) 5.5 states/eV/f.u.. Number 3: N(E_F) 2.7 states/eV/f.u.. Number 4: N(E_F) 2.9 states/eV/f.u.. Number 5: N(E_F) 12.3 states/eV/f.u.. Number 6: N(E_F) 4.8 states/eV/f.u..